The following is a DFT calculation (PBE-GGA) of an optimized crystal structure of Be2ZnBi.

crystal system	cubic

Unit cell a=6.533 b=6.533 c=6.533 alpha=90.00 beta=90.00 gamma=90.00
Space group F-43m (No. 216)
Symmetry-distinct sites (fractional):
Be  0.000  0.000  0.000
Be  0.250  0.250  0.250
Zn  0.250  0.250  0.750
Bi  0.000  0.000  0.500

=====

The following is a DFT calculation (PBE-GGA) of an optimized crystal structure of BeZnBi2.

crystal system	cubic

Unit cell a=7.294 b=7.294 c=7.294 alpha=90.00 beta=90.00 gamma=90.00
Space group F-43m (No. 216)
Symmetry-distinct sites (fractional):
Be  0.000  0.000  0.000
Zn  0.250  0.250  0.250
Bi  0.000  0.000  0.500
Bi  0.250  0.250  0.750

=====

The following is a DFT calculation (PBE-GGA) of an optimized crystal structure of Zr2BeBi.

crystal system	cubic

Unit cell a=6.954 b=6.954 c=6.954 alpha=90.00 beta=90.00 gamma=90.00
Space group F-43m (No. 216)
Symmetry-distinct sites (fractional):
Zr  0.000  0.000  0.000
Zr  0.250  0.250  0.250
Be  0.250  0.250  0.750
Bi  0.000  0.000  0.500

=====

The following is a DFT calculation (PBE-GGA) of an optimized crystal structure of ZrBeBi2.

crystal system	cubic

Unit cell a=7.286 b=7.286 c=7.286 alpha=90.00 beta=90.00 gamma=90.00
Space group F-43m (No. 216)
Symmetry-distinct sites (fractional):
Zr  0.000  0.000  0.000
Be  0.250  0.250  0.250
Bi  0.000  0.000  0.500
Bi  0.250  0.250  0.750

=====

Number 1: electronic total energy -2.37 eV per atom. Number 2: electronic total energy -2.62 eV per atom. Number 3: electronic total energy -5.73 eV per atom. Number 4: electronic total energy -4.49 eV per atom.